[1]
PBE-GGA Tb2CuRh2, relaxed; space-group type = No. 15; formation energy from the elements = -653 meV per atom; ΔE to the lowest computed polymorph = 0.021 eV per atom
1.0
4.997 -2.682 0.000
4.997 2.682 0.000
-2.175 0.000 7.337
Tb Cu Rh
4 2 4
direct
0.004 0.291 0.151
0.291 0.004 0.651
0.709 0.996 0.349
0.996 0.709 0.849
0.326 0.674 0.250
0.674 0.326 0.750
0.234 0.508 0.494
0.492 0.766 0.006
0.508 0.234 0.994
0.766 0.492 0.506



[2]
PBE-GGA Ba2Zn3Pb5, relaxed; space-group type = No. 115; formation energy from the elements = -198 meV per atom
1.0
5.170 0.000 0.000
0.000 5.170 0.000
0.000 0.000 11.685
Ba Zn Pb
2 3 5
direct
0.000 0.500 0.229
0.500 0.000 0.771
0.000 0.000 0.000
0.000 0.500 0.904
0.500 0.000 0.096
0.000 0.000 0.500
0.000 0.500 0.666
0.500 0.000 0.334
0.500 0.500 0.000
0.500 0.500 0.500



[3]
PBE-GGA RbScSb2, relaxed; space-group type = No. 122; formation energy from raw total energies = -0.38 eV/atom; ΔE to the lowest computed polymorph = 0.138 eV per atom
1.0
6.290 0.000 0.000
0.000 6.290 0.000
0.000 0.000 18.159
Rb Sc Sb
4 4 8
direct
0.000 0.000 0.000
0.000 0.500 0.250
0.500 0.000 0.750
0.500 0.500 0.500
0.000 0.000 0.500
0.000 0.500 0.750
0.500 0.000 0.250
0.500 0.500 0.000
0.064 0.250 0.625
0.250 0.564 0.875
0.250 0.936 0.375
0.436 0.250 0.125
0.564 0.750 0.125
0.750 0.064 0.375
0.750 0.436 0.875
0.936 0.750 0.625



[4]
PBE-GGA Nd3Dy12Al, relaxed; space-group type = No. 123; formation energy from the elements = -14 meV per atom
1.0
4.964 0.000 0.000
0.000 4.964 0.000
0.000 0.000 20.142
Nd Dy Al
3 12 1
direct
0.000 0.000 0.000
0.000 0.000 0.254
0.000 0.000 0.746
0.000 0.500 0.128
0.000 0.500 0.384
0.000 0.500 0.616
0.000 0.500 0.872
0.500 0.000 0.128
0.500 0.000 0.384
0.500 0.000 0.616
0.500 0.000 0.872
0.500 0.500 0.000
0.500 0.500 0.259
0.500 0.500 0.500
0.500 0.500 0.741
0.000 0.000 0.500



[5]
PBE-GGA Pr5Cd2Co2, relaxed; space-group type = No. 64; formation energy from the elements = -110 meV per atom
1.0
8.359 -3.752 0.000
8.359 3.752 0.000
0.000 0.000 7.858
Pr Cd Co
10 4 4
direct
0.000 0.000 0.000
0.064 0.700 0.686
0.200 0.564 0.186
0.300 0.936 0.686
0.436 0.800 0.186
0.500 0.500 0.500
0.564 0.200 0.814
0.700 0.064 0.314
0.800 0.436 0.814
0.936 0.300 0.314
0.223 0.223 0.000
0.277 0.277 0.500
0.723 0.723 0.500
0.777 0.777 0.000
0.108 0.892 0.390
0.392 0.608 0.890
0.608 0.392 0.110
0.892 0.108 0.610



[6]
PBE-GGA Nb2V9Mo, relaxed; space-group type = No. 166; formation energy from the elements = 170 meV per atom
1.0
2.545 1.469 7.991
-2.545 1.469 7.991
0.000 -2.938 7.991
Nb V Mo
2 9 1
direct
0.144 0.144 0.144
0.856 0.856 0.856
0.081 0.583 0.583
0.332 0.332 0.332
0.417 0.417 0.919
0.417 0.919 0.417
0.500 0.500 0.500
0.583 0.081 0.583
0.583 0.583 0.081
0.668 0.668 0.668
0.919 0.417 0.417
0.000 0.000 0.000



[7]
PBE-GGA Mg2AgH6, relaxed; space-group type = No. 225; uncorrected energy = -0.1922 Ry/atom
1.0
0.000 3.348 3.348
3.348 0.000 3.348
3.348 3.348 0.000
Mg Ag H
2 1 6
direct
0.250 0.250 0.250
0.750 0.750 0.750
0.000 0.000 0.000
0.283 0.283 0.717
0.283 0.717 0.283
0.283 0.717 0.717
0.717 0.283 0.283
0.717 0.283 0.717
0.717 0.717 0.283



[8]
PBE-GGA CsPuAgTe3, relaxed; space-group type = No. 11; formation energy from raw total energies = -0.80 eV/atom
1.0
10.131 0.000 0.000
0.000 4.511 0.000
-4.105 0.000 10.168
Cs Pu Ag Te
2 2 2 6
direct
0.216 0.250 0.254
0.784 0.750 0.746
0.320 0.750 0.848
0.680 0.250 0.152
0.078 0.250 0.595
0.922 0.750 0.405
0.123 0.250 0.867
0.226 0.750 0.550
0.471 0.750 0.150
0.529 0.250 0.850
0.774 0.250 0.450
0.877 0.750 0.133



[9]
PBE-GGA CsPbS2O8, relaxed; space-group type = No. 166; formation energy from raw total energies = -1.47 eV/atom
1.0
2.856 1.649 7.026
-2.856 1.649 7.026
0.000 -3.298 7.026
Cs Pb S O
1 1 2 8
direct
0.000 0.000 0.000
0.500 0.500 0.500
0.219 0.219 0.219
0.781 0.781 0.781
0.040 0.613 0.613
0.150 0.150 0.150
0.387 0.387 0.960
0.387 0.960 0.387
0.613 0.040 0.613
0.613 0.613 0.040
0.850 0.850 0.850
0.960 0.387 0.387



[10]
PBE-GGA SnHAu2, relaxed; space-group type = No. 225; ΔE to the lowest computed polymorph = 0.346 eV per atom
1.0
6.543 0.000 0.000
0.000 6.543 0.000
0.000 0.000 6.543
Sn H Au
4 4 8
direct
0.000 0.000 0.000
0.000 0.500 0.500
0.500 0.000 0.500
0.500 0.500 0.000
0.000 0.000 0.500
0.000 0.500 0.000
0.500 0.000 0.000
0.500 0.500 0.500
0.250 0.250 0.250
0.250 0.250 0.750
0.250 0.750 0.250
0.250 0.750 0.750
0.750 0.250 0.250
0.750 0.250 0.750
0.750 0.750 0.250
0.750 0.750 0.750



[11]
PBE-GGA SiOs2Br, relaxed; space-group type = No. 6; formation energy from raw total energies = 0.47 eV/atom; ΔE to the lowest computed polymorph = 0.000 eV per atom
1.0
2.812 0.000 0.000
0.000 3.660 0.000
-0.021 0.000 7.472
Si Os Br
1 2 1
direct
0.000 0.000 0.000
0.499 0.500 0.846
0.997 0.000 0.671
0.996 0.500 0.418



[12]
PBE-GGA CaPr2Er, relaxed; space-group type = No. 123; formation energy from the elements = 92 meV per atom; ΔE to the lowest computed polymorph = 0.070 eV per atom
1.0
5.316 0.000 0.000
0.000 5.316 0.000
0.000 0.000 4.998
Ca Pr Er
1 2 1
direct
0.000 0.000 0.000
0.000 0.500 0.500
0.500 0.000 0.500
0.500 0.500 0.000



| no. | V (Å³/cell) |
| --- | --- |
| 1 | 197 |
| 2 | 312 |
| 3 | 718 |
| 4 | 496 |
| 5 | 493 |
| 6 | 179 |
| 7 | 75 |
| 8 | 465 |
| 9 | 199 |
| 10 | 280 |
| 11 | 77 |
| 12 | 141 |